First-principles (GGA+U) data for a geometry-optimized FeW2AuF structure, as listed in Alexandria via LeMat-Bulk.

Its total energy is -2.927 eV per atom.

The structure belongs to space group P4/mmm (No. 123); the cell edges are 5.342, 5.342 and 4.316 Å and the angles 90.00°, 90.00° and 90.00°. The asymmetric unit holds Fe at (0.000, 0.000, 0.000), W at (0.000, 0.500, 0.500), Au at (0.500, 0.500, 0.500) and F at (0.500, 0.500, 0.000).